[1]
{
  "formula": "Co2Se2N",
  "functional": "GGA-PBE",
  "state": "relaxed",
  "cell": [[6.539, 0.000, 0.000], [0.000, 6.539, 0.000], [0.000, 0.000, 3.243]],
  "species": ["Se", "N", "Co", "Se", "Co", "Se", "Se", "N", "Co", "Co"],
  "fractional_positions": [[0.175, 0.325, 0.000], [0.500, 0.500, 0.000], [0.366, 0.134, 0.500], [0.825, 0.675, 0.000], [0.134, 0.634, 0.500], [0.325, 0.825, 0.000], [0.675, 0.175, 0.000], [0.000, 0.000, 0.000], [0.634, 0.866, 0.500], [0.866, 0.366, 0.500]],
  "raw_formation_energy_ev_per_fu": 5.3,
  "dos_ef_per_ev_fu": 7.622,
  "spacegroup": "P4/mbm",
  "m_tot_mub_per_cell": 5.53,
  "relative_energy_ev_per_atom": 0.296
}

[2]
{
  "formula": "CoH2Ru",
  "functional": "GGA-PBE",
  "state": "relaxed",
  "cell": [[3.947, 0.000, 0.000], [0.000, 3.947, 0.000], [1.974, 1.974, 3.981]],
  "species": ["H", "Ru", "H", "H", "Co", "Ru", "Co", "H"],
  "fractional_positions": [[0.875, 0.838, 0.750], [0.000, 0.000, 0.000], [0.162, 0.625, 0.250], [0.588, 0.125, 0.250], [0.500, 0.500, 0.000], [0.750, 0.250, 0.500], [0.250, 0.750, 0.500], [0.375, 0.412, 0.750]],
  "dos_ef_per_ev_fu": 2.738,
  "spacegroup": "I-42d",
  "m_tot_mub_per_cell": 1.92,
  "relative_energy_ev_per_atom": 0.000
}

[3]
{
  "formula": "La8Zn2Pd",
  "functional": "GGA-PBE",
  "state": "relaxed",
  "cell": [[5.279, 0.000, 0.000], [0.000, 6.977, 0.453], [-2.640, -2.438, 9.047]],
  "species": ["La", "La", "La", "La", "Pd", "Zn", "La", "La", "Zn", "La", "La"],
  "fractional_positions": [[0.974, 0.220, 0.949], [0.590, 0.446, 0.181], [0.798, 0.690, 0.597], [0.341, 0.042, 0.681], [0.500, 0.000, 0.000], [0.192, 0.741, 0.384], [0.659, 0.958, 0.319], [0.202, 0.310, 0.403], [0.808, 0.259, 0.616], [0.026, 0.780, 0.051], [0.410, 0.554, 0.819]],
  "dos_ef_per_ev_fu": 12.713,
  "spacegroup": "C2/m",
  "m_tot_mub_per_cell": 0.00,
  "dft_energy_ev_per_cell": -49.75
}